Material: BaCl7
Method: DFT, PBE-GGA
State: optimized geometry

Unit cell a=6.646 b=6.646 c=6.646 alpha=60.00 beta=60.00 gamma=60.00
Positions (direct):
Ba (0.000, 0.000, 0.000)
Cl (0.000, 0.000, 0.500)
Cl (0.000, 0.500, 0.000)
Cl (0.000, 0.500, 0.500)
Cl (0.500, 0.000, 0.000)
Cl (0.500, 0.000, 0.500)
Cl (0.500, 0.500, 0.000)
Cl (0.500, 0.500, 0.500)

Properties
* size of the total moment: 5.05 μB/f.u.
* DFT total energy: -17.74 eV/cell
* formation energy from raw total energies: -0.3618 eV/atom